A plane-wave DFT calculation with GGA+U was carried out for an optimized crystal structure of Ca2NbCoO6.

Lattice parameters (Å, degrees): 5.407 5.494 9.373 90.00 124.91 90.00
Atoms (fractional coordinates):
Ca  0.238  0.044  0.248
Ca  0.238  0.456  0.748
Ca  0.762  0.544  0.252
Ca  0.762  0.956  0.752
Nb  0.500  0.000  0.000
Nb  0.500  0.500  0.500
Co  0.000  0.000  0.500
Co  0.000  0.500  0.000
O  0.163  0.213  0.960
O  0.163  0.287  0.460
O  0.245  0.706  0.958
O  0.245  0.794  0.458
O  0.324  0.019  0.745
O  0.324  0.481  0.245
O  0.676  0.519  0.755
O  0.676  0.981  0.255
O  0.755  0.206  0.542
O  0.755  0.294  0.042
O  0.837  0.713  0.540
O  0.837  0.787  0.040

For the total magnetization, the calculation gives 0.001 Bohr magnetons per cell. For the raw total energy, the calculation gives -145.84 eV/cell. As for the mass density: 4.77 Mg/m³.